KAlAu3 | PBE | relaxed

DFT formation energy ... -0.2941 eV per atom
Size of the total moment ... 0.00 μB per atom
Distance to the lowest polymorph of the same formula ... 7.4 meV/atom

a b c (Å): 8.7972 6.6637 8.6323
angles (deg): 90.00 105.07 90.00
Space group P2_1/c (No. 14)
One atom of each set of equivalent atoms:
K (0.1302, 0.0874, 0.2022) (multiplicity 4)
Al (0.4165, 0.7421, 0.1192) (multiplicity 4)
Au (0.1401, 0.5858, 0.0717) (multiplicity 4)
Au (0.3448, 0.5101, 0.3801) (multiplicity 4)
Au (0.4337, 0.1468, 0.5959) (multiplicity 4)